VASP calculation (PBE) on a relaxed structure of Pm2PrBr6.

Geometry as CIF:
```
data_Pm2PrBr6
_cell_length_a 16.3760
_cell_length_b 4.0364
_cell_length_c 10.9708
_cell_angle_alpha 90.00
_cell_angle_beta 115.72
_cell_angle_gamma 90.00
_space_group_name_H-M_alt 'C 1 2/m 1'
_space_group_IT_number 12
_space_group_name_Hall '-C 2y'
loop_
_atom_site_label
_atom_site_type_symbol
_atom_site_fract_x
_atom_site_fract_y
_atom_site_fract_z
_atom_site_occupancy
Pm1 Pm 0.1511 0.0000 0.3073 1
Pr1 Pr 0.0000 0.5000 0.0000 1
Br1 Br 0.0163 0.5000 0.2904 1
Br2 Br 0.1482 0.0000 0.0424 1
Br3 Br 0.2001 0.0000 0.6087 1
```

Computed properties:
For the energy above the most stable polymorph in this dataset, the calculation gives 0 meV/atom. As for the formation energy without anion corrections: -1.66 eV per atom.



VASP calculation (PBE) on a relaxed structure of PmPrPtBr.

Geometry as CIF:
```
data_PmPrPtBr
_cell_length_a 4.2033
_cell_length_b 4.2033
_cell_length_c 23.6403
_cell_angle_alpha 90.00
_cell_angle_beta 90.00
_cell_angle_gamma 120.00
_space_group_name_H-M_alt 'R 3 m'
_space_group_IT_number 160
_space_group_name_Hall 'R 3 -2"'
loop_
_atom_site_label
_atom_site_type_symbol
_atom_site_fract_x
_atom_site_fract_y
_atom_site_fract_z
_atom_site_occupancy
Pm1 Pm 0.0000 0.0000 0.0000 1
Pr1 Pr 0.0000 0.0000 0.7981 1
Pt1 Pt 0.0000 0.0000 0.3974 1
Br1 Br 0.0000 0.0000 0.5689 1
```

Computed properties:
As for the formation energy without anion corrections: -1.23 eV per atom.